DFT (PBE) results for a relaxed structure of SrSbO4.

Cell: 6.1531 6.1531 6.1081 Å, 105.03 105.03 103.36°
With the nearest neighbours (Å) after each atom.
Positions (direct):
Sr 0.1345 0.8655 0.7500  6 O 2.49-2.60
Sr 0.8655 0.1345 0.2500  6 O 2.49-2.60
Sb 0.4858 0.5142 0.2500  6 O 1.97-2.07
Sb 0.5142 0.4858 0.7500  6 O 1.97-2.07
O 0.2041 0.2270 0.0996  1 Sb 1.97
O 0.2270 0.2041 0.5996  1 Sb 1.97
O 0.3534 0.6339 0.5128  2 Sb 2.03-2.07
O 0.3661 0.6466 0.9872  2 Sb 2.03-2.07
O 0.6339 0.3534 0.0128  2 Sb 2.03-2.07
O 0.6466 0.3661 0.4872  2 Sb 2.03-2.07
O 0.7730 0.7959 0.4004  1 Sb 1.97
O 0.7959 0.7730 0.9004  1 Sb 1.97

Summary:
The total moment comes out at 1.0 μB/f.u. The crystal system is monoclinic. The value obtained for the formation energy (no corrections) is -1713.4 meV/atom. The density is 4.442 g/cm³. The energy above the most stable polymorph in this dataset comes out at 0 meV per atom. As for the symmetry: C2/c (15).



DFT (PBE) results for a relaxed structure of Sr2SbO4.

Cell: 4.1967 4.1967 12.8521 Å, 90.00 90.00 90.00°
With the nearest neighbours (Å) after each atom.
Positions (direct):
Sr 0.0000 0.0000 0.1466  1 O 2.39
Sr 0.0000 0.0000 0.8534  1 O 2.39
Sr 0.5000 0.5000 0.3534  1 O 2.39
Sr 0.5000 0.5000 0.6466  1 O 2.39
Sb 0.0000 0.0000 0.5000  6 O 2.10-2.15
Sb 0.5000 0.5000 0.0000  6 O 2.10-2.15
O 0.0000 0.0000 0.3325  1 Sb 2.15, 1 Sr 2.39
O 0.0000 0.0000 0.6675  1 Sb 2.15, 1 Sr 2.39
O 0.0000 0.5000 0.0000  2 Sb 2.10
O 0.0000 0.5000 0.5000  2 Sb 2.10
O 0.5000 0.0000 0.0000  2 Sb 2.10
O 0.5000 0.0000 0.5000  2 Sb 2.10
O 0.5000 0.5000 0.1675  1 Sb 2.15, 1 Sr 2.39
O 0.5000 0.5000 0.8325  1 Sb 2.15, 1 Sr 2.39

Summary:
The total moment comes out at 0.0 μB/f.u. The crystal system is tetragonal. The value obtained for the formation energy (no corrections) is -2189.1 meV/atom. The density is 5.297 g/cm³. The energy above the most stable polymorph in this dataset comes out at 7 meV per atom. As for the symmetry: I4/mmm (139).



DFT (PBE) results for a relaxed structure of Sr2SbO.

Cell: 6.6561 6.5802 12.0636 Å, 90.00 114.63 90.00°
With the nearest neighbours (Å) after each atom.
Positions (direct):
Sr 0.0136 0.2318 0.0730  2 O 2.38-2.39
Sr 0.0136 0.7682 0.5730  2 O 2.38-2.39
Sr 0.2851 0.1739 0.8332  2 O 2.39-2.40
Sr 0.2851 0.8261 0.3332  2 O 2.39-2.40
Sr 0.7149 0.1739 0.6668  2 O 2.39-2.40
Sr 0.7149 0.8261 0.1668  2 O 2.39-2.40
Sr 0.9864 0.2318 0.4270  2 O 2.38-2.39
Sr 0.9864 0.7682 0.9270  2 O 2.38-2.39
Sb 0.4571 0.3403 0.3628  1 Sb 3.00, 2 Sr 3.35-3.36
Sb 0.4571 0.6597 0.8628  1 Sb 3.00, 2 Sr 3.35-3.36
Sb 0.5429 0.3403 0.1372  1 Sb 3.00, 2 Sr 3.35-3.36
Sb 0.5429 0.6597 0.6372  1 Sb 3.00, 2 Sr 3.35-3.36
O 0.0306 0.1187 0.6246  4 Sr 2.38-2.40
O 0.0306 0.8813 0.1246  4 Sr 2.38-2.40
O 0.9694 0.1187 0.8754  4 Sr 2.38-2.40
O 0.9694 0.8813 0.3754  4 Sr 2.38-2.40

Summary:
The total moment comes out at 0.0 μB/f.u. The crystal system is monoclinic. The value obtained for the formation energy (no corrections) is -1746.8 meV/atom. The density is 4.329 g/cm³. The energy above the most stable polymorph in this dataset comes out at 0 meV per atom. As for the symmetry: P2/c (13).



DFT (PBE) results for a relaxed structure of Sr2SbO5.

Cell: 4.4581 6.0848 6.1214 Å, 117.75 95.42 107.66°
With the nearest neighbours (Å) after each atom.
Positions (direct):
Sr 0.0000 0.0000 0.0000  5 O 2.43-2.70
Sr 0.3817 0.7425 0.3699  5 O 2.44-2.71
Sb 0.1479 0.3717 0.6933  5 O 1.95-2.02
O 0.0434 0.9854 0.5648  1 Sb 1.98
O 0.3995 0.3654 0.4337  1 Sb 2.02, 1 O 2.11
O 0.4260 0.7566 0.9434  1 Sb 1.98
O 0.8729 0.3697 0.4252  1 Sb 1.95, 1 O 2.11
O 0.9313 0.3788 0.9583  1 Sb 1.95

Summary:
The total moment comes out at 0.2 μB/f.u. The crystal system is triclinic. The value obtained for the formation energy (no corrections) is -1929.4 meV/atom. The density is 4.656 g/cm³. The energy above the most stable polymorph in this dataset comes out at 87 meV per atom. As for the symmetry: P1 (1).



Total energy? In order: -5.986 -6.092 -4.858 -5.964 eV/atom.